i:
The following is a DFT calculation (PBE-GGA) of an optimized crystal structure of Cs2KF.

For the total moment, the calculation gives 0.0 μB per cell. The calculated volume comes out at 664 Å³/cell.

It has space group R3m (No. 160, hexagonal axes), with a = 4.6145 Å, b = 4.6145 Å, c = 35.9988 Å, α = 90.00°, β = 90.00° and γ = 120.00°. The asymmetric unit holds Cs at (0.0000, 0.0000, 0.0000), Cs at (0.0000, 0.0000, 0.2395), K at (0.0000, 0.0000, 0.4532) and F at (0.0000, 0.0000, 0.6195).

ii:
The following is a DFT calculation (PBE-GGA) of an optimized crystal structure of Cs2KF.

For the total moment, the calculation gives 0.0 μB per cell. The calculated volume comes out at 987 Å³/cell.

It has space group Fm-3m (No. 225), with a = 9.958 Å, b = 9.958 Å, c = 9.958 Å, α = 90.00°, β = 90.00° and γ = 90.00°. The asymmetric unit holds Cs at (0.250, 0.250, 0.250), K at (0.000, 0.000, 0.000) and F at (0.000, 0.000, 0.500).

iii:
The following is a DFT calculation (PBE-GGA) of an optimized crystal structure of Cs2KF.

For the total moment, the calculation gives 0.0 μB per cell. The calculated volume comes out at 206 Å³/cell.

It has space group P4/mmm (No. 123), with a = 4.109 Å, b = 4.109 Å, c = 12.217 Å, α = 90.00°, β = 90.00° and γ = 90.00°. The asymmetric unit holds Cs at (0.000, 0.000, 0.150), K at (0.500, 0.500, 0.500) and F at (0.500, 0.500, 0.000).

iv:
The following is a DFT calculation (PBE-GGA) of an optimized crystal structure of Cs2KF.

For the total moment, the calculation gives 0.0 μB per cell. The calculated volume comes out at 1104 Å³/cell.

It has space group I-42d (No. 122), with a = 9.230 Å, b = 9.230 Å, c = 12.959 Å, α = 90.00°, β = 90.00° and γ = 90.00°. The asymmetric unit holds Cs at (0.040, 0.250, 0.125), K at (0.000, 0.000, 0.500) and F at (0.000, 0.000, 0.000).

Most stable pick: iv. Distance to second place: 3.4 kJ/mol of atoms.

i:
The following is a DFT calculation (PBE-GGA) of an optimized crystal structure of CsK2F.

For the total moment, the calculation gives 0.0 μB per cell. The calculated volume comes out at 593 Å³/cell.

It has space group R-3m (No. 166, hexagonal axes), with a = 4.3277 Å, b = 4.3277 Å, c = 36.5498 Å, α = 90.00°, β = 90.00° and γ = 120.00°. The asymmetric unit holds Cs at (0.0000, 0.0000, 0.0000), K at (0.0000, 0.0000, 0.1267) and F at (0.0000, 0.0000, 0.5000).

ii:
The following is a DFT calculation (PBE-GGA) of an optimized crystal structure of CsK2F.

For the total moment, the calculation gives 0.0 μB per cell. The calculated volume comes out at 906 Å³/cell.

It has space group I-42d (No. 122), with a = 8.614 Å, b = 8.614 Å, c = 12.209 Å, α = 90.00°, β = 90.00° and γ = 90.00°. The asymmetric unit holds Cs at (0.000, 0.000, 0.000), K at (0.002, 0.250, 0.625) and F at (0.000, 0.000, 0.500).

iii:
The following is a DFT calculation (PBE-GGA) of an optimized crystal structure of CsK2F.

For the total moment, the calculation gives 0.0 μB per cell. The calculated volume comes out at 894 Å³/cell.

It has space group Fm-3m (No. 225), with a = 9.633 Å, b = 9.633 Å, c = 9.633 Å, α = 90.00°, β = 90.00° and γ = 90.00°. The asymmetric unit holds Cs at (0.000, 0.000, 0.000), K at (0.250, 0.250, 0.250) and F at (0.000, 0.000, 0.500).

Most stable pick: ii. Distance to second place: 7.5 kJ/mol of atoms.

i:
The following is a DFT calculation (PBE-GGA) of an optimized crystal structure of CsK2F3.

For the total moment, the calculation gives 0.6 μB per cell. The calculated volume comes out at 586 Å³/cell.

It has space group Cmcm (No. 63), with a = 4.498 Å, b = 13.641 Å, c = 9.546 Å, α = 90.00°, β = 90.00° and γ = 90.00°. The asymmetric unit holds Cs at (0.000, 0.238, 0.250), K at (0.000, 0.012, 0.750), K at (0.000, 0.500, 0.000), F at (0.000, 0.118, 0.535) and F at (0.000, 0.426, 0.750).

ii:
The following is a DFT calculation (PBE-GGA) of an optimized crystal structure of CsK2F3.

For the total moment, the calculation gives 0.5 μB per cell. The calculated volume comes out at 273 Å³/cell.

It has space group Pmc2_1 (No. 26), with a = 3.752 Å, b = 10.544 Å, c = 6.889 Å, α = 90.00°, β = 90.00° and γ = 90.00°. The asymmetric unit holds Cs at (0.000, 0.133, 0.000), K at (0.000, 0.223, 0.500), K at (0.500, 0.482, 0.003), F at (0.000, 0.402, 0.753), F at (0.500, 0.074, 0.669) and F at (0.500, 0.294, 0.259).

Most stable pick: ii. Distance to second place: 6.8 kJ/mol of atoms.

i:
The following is a DFT calculation (PBE-GGA) of an optimized crystal structure of Cs2KNaF.

For the total moment, the calculation gives 0.0 μB per cell. The calculated volume comes out at 242 Å³/cell.

It has space group P4/mmm (No. 123), with a = 6.369 Å, b = 6.369 Å, c = 5.966 Å, α = 90.00°, β = 90.00° and γ = 90.00°. The asymmetric unit holds Cs at (0.000, 0.500, 0.000), K at (0.000, 0.000, 0.500), Na at (0.500, 0.500, 0.500) and F at (0.000, 0.000, 0.000).

ii:
The following is a DFT calculation (PBE-GGA) of an optimized crystal structure of Cs2KNaF.

For the total moment, the calculation gives 0.3 μB per cell. The calculated volume comes out at 282 Å³/cell.

It has space group P4/mmm (No. 123), with a = 5.864 Å, b = 5.864 Å, c = 8.204 Å, α = 90.00°, β = 90.00° and γ = 90.00°. The asymmetric unit holds Cs at (0.000, 0.500, 0.000), K at (0.000, 0.000, 0.500), Na at (0.500, 0.500, 0.500) and F at (0.500, 0.500, 0.000).

Most stable pick: i. Distance to second place: 5.6 kJ/mol of atoms.

i:
The following is a DFT calculation (PBE-GGA) of an optimized crystal structure of CsK2NaF.

For the total moment, the calculation gives 0.0 μB per cell. The calculated volume comes out at 218 Å³/cell.

It has space group P4/mmm (No. 123), with a = 5.816 Å, b = 5.816 Å, c = 6.450 Å, α = 90.00°, β = 90.00° and γ = 90.00°. The asymmetric unit holds Cs at (0.000, 0.000, 0.000), K at (0.000, 0.500, 0.500), Na at (0.500, 0.500, 0.000) and F at (0.000, 0.000, 0.500).

ii:
The following is a DFT calculation (PBE-GGA) of an optimized crystal structure of CsK2NaF.

For the total moment, the calculation gives 0.0 μB per cell. The calculated volume comes out at 250 Å³/cell.

It has space group P4/mmm (No. 123), with a = 5.534 Å, b = 5.534 Å, c = 8.154 Å, α = 90.00°, β = 90.00° and γ = 90.00°. The asymmetric unit holds Cs at (0.000, 0.000, 0.000), K at (0.000, 0.500, 0.500), Na at (0.500, 0.500, 0.000) and F at (0.500, 0.500, 0.500).

Most stable pick: i. Distance to second place: 11.9 kJ/mol of atoms.

i:
The following is a DFT calculation (PBE-GGA) of an optimized crystal structure of CsK2RbF.

For the total moment, the calculation gives 0.0 μB per cell. The calculated volume comes out at 306 Å³/cell.

It has space group P4/mmm (No. 123), with a = 7.547 Å, b = 7.547 Å, c = 5.373 Å, α = 90.00°, β = 90.00° and γ = 90.00°. The asymmetric unit holds Cs at (0.000, 0.000, 0.000), K at (0.000, 0.500, 0.500), Rb at (0.500, 0.500, 0.000) and F at (0.500, 0.500, 0.500).

ii:
The following is a DFT calculation (PBE-GGA) of an optimized crystal structure of CsK2RbF.

For the total moment, the calculation gives 0.0 μB per cell. The calculated volume comes out at 278 Å³/cell.

It has space group P4/mmm (No. 123), with a = 6.857 Å, b = 6.857 Å, c = 5.906 Å, α = 90.00°, β = 90.00° and γ = 90.00°. The asymmetric unit holds Cs at (0.000, 0.000, 0.000), K at (0.000, 0.500, 0.500), Rb at (0.500, 0.500, 0.000) and F at (0.000, 0.000, 0.500).

Most stable pick: ii. Distance to second place: 3.7 kJ/mol of atoms.